1.
A relaxed structure of Mn2AlOs. Source: Alexandria, functional PBE.

Structure (CIF):
```
data_Mn2AlOs
_cell_length_a 3.721
_cell_length_b 3.721
_cell_length_c 3.797
_cell_angle_alpha 90.00
_cell_angle_beta 90.00
_cell_angle_gamma 90.00
_space_group_name_H-M_alt 'P 4/m m m'
_space_group_IT_number 123
_space_group_name_Hall '-P 4 2'
loop_
_atom_site_label
_atom_site_type_symbol
_atom_site_fract_x
_atom_site_fract_y
_atom_site_fract_z
Mn1 Mn 0.000 0.500 0.000
Al1 Al 0.000 0.000 0.500
Os1 Os 0.500 0.500 0.500
```


2.
A relaxed structure of Mn2AlOs. Source: Alexandria, functional PBE.

Structure (CIF):
```
data_Mn2AlOs
_cell_length_a 5.307
_cell_length_b 7.298
_cell_length_c 2.710
_cell_angle_alpha 90.00
_cell_angle_beta 90.00
_cell_angle_gamma 90.00
_space_group_name_H-M_alt 'C m m m'
_space_group_IT_number 65
_space_group_name_Hall '-C 2 2'
loop_
_atom_site_label
_atom_site_type_symbol
_atom_site_fract_x
_atom_site_fract_y
_atom_site_fract_z
Mn1 Mn 0.250 0.250 0.000
Al1 Al 0.000 0.000 0.500
Os1 Os 0.000 0.500 0.500
```


3.
A relaxed structure of MnAl2Os. Source: Alexandria, functional PBE.

Structure (CIF):
```
data_MnAl2Os
_cell_length_a 2.949
_cell_length_b 4.588
_cell_length_c 8.541
_cell_angle_alpha 90.00
_cell_angle_beta 90.00
_cell_angle_gamma 90.00
_space_group_name_H-M_alt 'C m m 2'
_space_group_IT_number 35
_space_group_name_Hall 'C 2 -2'
loop_
_atom_site_label
_atom_site_type_symbol
_atom_site_fract_x
_atom_site_fract_y
_atom_site_fract_z
Mn1 Mn 0.000 0.000 0.000
Al1 Al 0.000 0.000 0.487
Al2 Al 0.000 0.500 0.762
Os1 Os 0.000 0.500 0.242
```


4.
A relaxed structure of MnAl2Os. Source: Alexandria, functional PBE.

Structure (CIF):
```
data_MnAl2Os
_cell_length_a 2.778
_cell_length_b 2.778
_cell_length_c 7.334
_cell_angle_alpha 90.00
_cell_angle_beta 90.00
_cell_angle_gamma 90.00
_space_group_name_H-M_alt 'P 4 m m'
_space_group_IT_number 99
_space_group_name_Hall 'P 4 -2'
loop_
_atom_site_label
_atom_site_type_symbol
_atom_site_fract_x
_atom_site_fract_y
_atom_site_fract_z
Mn1 Mn 0.000 0.000 0.000
Al1 Al 0.000 0.000 0.459
Al2 Al 0.500 0.500 0.773
Os1 Os 0.500 0.500 0.213
```


| no. | uncorrected energy (eV per atom) | formation energy from the elements (eV per atom) |
| --- | --- | --- |
| 1 | -8.397 | -0.07 |
| 2 | -8.423 | -0.09 |
| 3 | -6.870 | 0.10 |
| 4 | -7.117 | -0.15 |